Density functional theory data (PBE-GGA) for an optimized crystal structure of CaRuW2.

Lattice parameters (Å, degrees): 5.491 5.491 5.491 139.10 139.10 59.22
Positions (direct):
Ru: 0.750 0.250 0.500
Ca: 0.250 0.750 0.500
W: 0.500 0.500 0.000
W: 0.000 0.000 0.000

## Properties
- Mass density: 12.0 Mg/m³
- V: 70 Å³ per cell
- Total magnetization: 0.001 μB/atom
- E above lowest polymorph: 31.9 kJ/mol of atoms
- Crystal system: tetragonal


Density functional theory data (PBE-GGA) for an optimized crystal structure of ReTc2Sb.

Lattice parameters (Å, degrees): 2.970 3.994 5.446 90.00 90.00 90.00
Positions (direct):
Sb: 0.500 0.500 0.750
Tc: 0.000 0.000 0.486
Re: 0.500 0.500 0.250
Tc: 0.000 0.000 0.014

## Properties
- Mass density: 13.0 Mg/m³
- V: 65 Å³ per cell
- Total magnetization: 0.000 μB/atom
- Crystal system: orthorhombic
- Formation energy (no corrections): 0.3264 eV/atom


Density functional theory data (PBE-GGA) for an optimized crystal structure of CrAgPd2W.

Lattice parameters (Å, degrees): 4.660 4.371 4.660 90.00 90.00 90.00
Positions (direct):
W: 0.000 0.500 0.000
Ag: 0.500 0.500 0.500
Cr: 0.000 0.000 0.000
Pd: 0.500 0.000 0.000
Pd: 0.000 0.000 0.500

## Properties
- Mass density: 9.7 Mg/m³
- Calculated total energy: -5.983 eV/atom
- V: 95 Å³ per cell
- Total magnetization: 0.110 μB/atom
- Crystal system: tetragonal


Density functional theory data (PBE-GGA) for an optimized crystal structure of K3SnAu.

Lattice parameters (Å, degrees): 8.016 8.016 8.351 108.53 118.73 99.68
Positions (direct):
K: 0.838 0.016 0.249
K: 0.277 0.555 0.833
Sn: 0.690 0.066 0.756
K: 0.162 0.984 0.751
Au: 0.612 0.792 0.404
Sn: 0.310 0.934 0.244
K: 0.723 0.445 0.167
K: 0.767 0.589 0.751
Au: 0.388 0.208 0.596
K: 0.233 0.411 0.249

## Properties
- Mass density: 3.5 Mg/m³
- V: 412 Å³ per cell
- Total magnetization: 0.000 μB/atom
- E above lowest polymorph: 2.8 kJ/mol of atoms
- Crystal system: monoclinic